[1]
NaSiAgSe3, optimized geometry, DFT PBE; crystal system = orthorhombic
1.0
-1.966 6.120 3.462
-3.891 6.158 0.494
-7.690 -5.254 4.921
Se Si Ag Na
6 2 2 2
Direct
0.374 0.374 0.987
0.626 0.626 0.487
0.626 0.626 0.013
0.043 0.043 0.750
0.374 0.374 0.513
0.957 0.957 0.250
0.000 0.000 0.000
0.000 0.000 0.500
0.611 0.611 0.250
0.389 0.389 0.750
0.711 0.711 0.750
0.289 0.289 0.250

[2]
Mg2Re2Os3, optimized geometry, DFT PBE; magnetization = 0.0 μB/f.u.; crystal system = trigonal
1.0
-6.059 3.008 3.008
-3.008 3.008 6.059
-3.008 6.059 3.008
Mg Os Re
2 3 2
Direct
0.239 0.239 0.239
0.756 0.756 0.756
0.877 0.877 0.877
0.628 0.628 0.628
0.377 0.377 0.377
0.001 0.001 0.001
0.496 0.496 0.496

[3]
Er3Nb3Re2N12, optimized geometry, DFT PBE; magnetization = 0.0 μB/f.u.; crystal system = cubic
1.0
-6.360 6.360 6.360
6.360 -6.360 6.360
6.360 6.360 -6.360
Nb N Er Re
12 48 12 8
Direct
0.750 0.375 0.625
0.875 0.125 0.750
0.125 0.750 0.875
0.625 0.375 0.250
0.375 0.625 0.750
0.125 0.875 0.250
0.750 0.875 0.125
0.875 0.250 0.125
0.625 0.750 0.375
0.250 0.625 0.375
0.250 0.125 0.875
0.375 0.250 0.625
0.674 0.083 0.700
0.974 0.674 0.091
0.800 0.883 0.974
0.383 0.300 0.474
0.917 0.300 0.326
0.909 0.026 0.326
0.526 0.617 0.700
0.526 0.409 0.826
0.700 0.526 0.617
0.674 0.091 0.974
0.591 0.174 0.474
0.409 0.083 0.883
0.826 0.526 0.409
0.174 0.200 0.583
0.474 0.383 0.300
0.326 0.909 0.026
0.591 0.917 0.117
0.026 0.326 0.909
0.974 0.800 0.883
0.583 0.174 0.200
0.117 0.026 0.200
0.083 0.700 0.674
0.091 0.974 0.674
0.474 0.591 0.174
0.883 0.409 0.083
0.326 0.917 0.300
0.174 0.474 0.591
0.300 0.474 0.383
0.409 0.826 0.526
0.117 0.591 0.917
0.917 0.117 0.591
0.826 0.800 0.417
0.200 0.583 0.174
0.083 0.883 0.409
0.700 0.674 0.083
0.617 0.417 0.091
0.617 0.700 0.526
0.417 0.091 0.617
0.383 0.583 0.909
0.417 0.826 0.800
0.026 0.200 0.117
0.300 0.326 0.917
0.583 0.909 0.383
0.200 0.117 0.026
0.883 0.974 0.800
0.909 0.383 0.583
0.091 0.617 0.417
0.800 0.417 0.826
0.250 0.375 0.125
0.750 0.125 0.375
0.375 0.125 0.250
0.625 0.250 0.875
0.375 0.750 0.125
0.875 0.750 0.625
0.125 0.375 0.750
0.250 0.875 0.625
0.750 0.625 0.875
0.125 0.250 0.375
0.875 0.625 0.250
0.625 0.875 0.750
0.000 0.000 0.000
0.000 0.500 0.000
0.500 0.000 0.000
0.000 0.500 0.500
0.500 0.000 0.500
0.500 0.500 0.500
0.500 0.500 0.000
0.000 0.000 0.500

What E_tot values result from the calculations? In sequence: -3.648, -8.497, -9.135 eV per atom.